MgB2MoO6 | PBE+U | optimized geometry

Cell: 9.0880 8.2624 4.9954 Å, 90.00 107.02 90.00°
Closest atoms and distances in Å follow each position.
Space group C2/c (No. 15)
Symmetry-distinct sites (fractional):
Mg 0.0000 0.0910 0.2500 (multiplicity 4)  6 O 1.99-2.10
B 0.2124 0.4046 0.2420 (multiplicity 8)  3 O 1.43-1.56
Mo 0.0000 0.3133 0.7500 (multiplicity 4)  6 O 2.05-2.22
O 0.1224 0.1074 0.6612 (multiplicity 8)  1 B 1.44
O 0.1316 0.2576 0.1479 (multiplicity 8)  1 B 1.43
O 0.1492 0.4860 0.4683 (multiplicity 8)  2 B 1.56-1.60

The density of states at the Fermi level is 0.0000 states/eV/atom. The calculated total energy is -73.7 eV per formula unit.